The following is a DFT calculation (PBE) of CuSn2Pt7Pb2 after structural relaxation.

```
data_CuSn2Pt7Pb2
_space_group_name_H-M_alt 'P 1'
_space_group_IT_number 1
_cell_length_a 4.0055
_cell_length_b 4.0055
_cell_length_c 15.3186
_cell_angle_alpha 85.86
_cell_angle_beta 85.86
_cell_angle_gamma 90.22
loop_
_space_group_symop_operation_xyz
'x,y,z'
loop_
_atom_site_label
_atom_site_type_symbol
_atom_site_fract_x
_atom_site_fract_y
_atom_site_fract_z
_atom_site_occupancy
Pt1 Pt 0.4656 0.9656 0.1262 1
Sn1 Sn 0.5663 0.5663 0.7551 1
Pt2 Pt 0.6062 0.6062 0.5801 1
Pb1 Pb 0.1110 0.1110 0.5979 1
Pt3 Pt 0.3938 0.3938 0.4199 1
Cu1 Cu 0.0000 0.0000 0.0000 1
Pt4 Pt 0.9656 0.4656 0.1262 1
Sn2 Sn 0.4337 0.4337 0.2449 1
Pt5 Pt 0.5344 0.0344 0.8738 1
Pb2 Pb 0.8890 0.8890 0.4021 1
Pt6 Pt 0.0344 0.5344 0.8738 1
Pt7 Pt 0.5000 0.5000 0.0000 1
```

Properties
Its density of states at the Fermi level is 9.0 states/eV per cell. The total energy is -5.36 eV per atom. Its crystal system is monoclinic. The symmetry is C2/m. The value obtained for the energy relative to the elements is -2.48 eV/f.u.